Record 1
HgGe2B | PBE | relaxed

Cell: 5.7447 5.7447 9.6731 Å, 90.00 90.00 90.00°
Atoms (fractional coordinates):
Hg1 0.0000 0.0000 0.0000
Hg2 0.0000 0.5000 0.2500
Hg3 0.5000 0.0000 0.7500
Hg4 0.5000 0.5000 0.5000
Ge1 0.1566 0.2500 0.6250
Ge2 0.2500 0.6566 0.8750
Ge3 0.2500 0.8434 0.3750
Ge4 0.3434 0.2500 0.1250
Ge5 0.6566 0.7500 0.1250
Ge6 0.7500 0.1566 0.3750
Ge7 0.7500 0.3434 0.8750
Ge8 0.8434 0.7500 0.6250
B1 0.0000 0.0000 0.5000
B2 0.0000 0.5000 0.7500
B3 0.5000 0.0000 0.2500
B4 0.5000 0.5000 0.0000

Calculated values
The density of states at the Fermi level comes out at 0.397 states/eV per atom. Its crystal system is tetragonal. Its energy above the most stable polymorph in this dataset is 0 meV per atom. As for the energy relative to the elements: 0.42 eV per atom. The total moment is 0.0 μB/f.u.

=====

Record 2
HgGeB3 | PBE | relaxed

Cell: 4.3967 4.3967 4.3967 Å, 90.00 90.00 90.00°
Atoms (fractional coordinates):
Hg1 0.0000 0.0000 0.0000
Ge1 0.5000 0.5000 0.5000
B1 0.0000 0.0000 0.5000
B2 0.0000 0.5000 0.0000
B3 0.5000 0.0000 0.0000

Calculated values
The density of states at the Fermi level comes out at 0.624 states/eV per atom. Its crystal system is cubic. Its energy above the most stable polymorph in this dataset is 494 meV per atom. As for the energy relative to the elements: 2.34 eV per atom. The total moment is 0.0 μB/f.u.

=====

Record 3
HgGe3B | PBE | relaxed

Cell: 4.5101 4.5101 4.5101 Å, 90.00 90.00 90.00°
Atoms (fractional coordinates):
Hg1 0.0000 0.0000 0.0000
Ge1 0.0000 0.5000 0.5000
Ge2 0.5000 0.0000 0.5000
Ge3 0.5000 0.5000 0.0000
B1 0.5000 0.5000 0.5000

Calculated values
The density of states at the Fermi level comes out at 0.386 states/eV per atom. Its crystal system is cubic. Its energy above the most stable polymorph in this dataset is 0 meV per atom. As for the energy relative to the elements: 0.63 eV per atom. The total moment is 0.0 μB/f.u.

=====

Record 4
HgGe3B | PBE | relaxed

Cell: 5.2011 5.2011 5.2011 Å, 90.00 90.00 90.00°
Atoms (fractional coordinates):
Hg1 0.0000 0.0000 0.0000
Ge1 0.0000 0.0000 0.5000
Ge2 0.0000 0.5000 0.0000
Ge3 0.5000 0.0000 0.0000
B1 0.5000 0.5000 0.5000

Calculated values
The density of states at the Fermi level comes out at 0.907 states/eV per atom. Its crystal system is cubic. Its energy above the most stable polymorph in this dataset is 1166 meV per atom. As for the energy relative to the elements: 1.79 eV per atom. The total moment is 0.0 μB/f.u.

=====

Record 5
Hg2GeB | PBE | relaxed

Cell: 5.7246 5.7246 11.3375 Å, 90.00 90.00 90.00°
Atoms (fractional coordinates):
Hg1 0.1655 0.2500 0.1250
Hg2 0.2500 0.6655 0.3750
Hg3 0.2500 0.8345 0.8750
Hg4 0.3345 0.2500 0.6250
Hg5 0.6655 0.7500 0.6250
Hg6 0.7500 0.1655 0.8750
Hg7 0.7500 0.3345 0.3750
Hg8 0.8345 0.7500 0.1250
Ge1 0.0000 0.0000 0.5000
Ge2 0.0000 0.5000 0.7500
Ge3 0.5000 0.0000 0.2500
Ge4 0.5000 0.5000 0.0000
B1 0.0000 0.0000 0.0000
B2 0.0000 0.5000 0.2500
B3 0.5000 0.0000 0.7500
B4 0.5000 0.5000 0.5000

Calculated values
The density of states at the Fermi level comes out at 0.822 states/eV per atom. Its crystal system is tetragonal. Its energy above the most stable polymorph in this dataset is 0 meV per atom. As for the energy relative to the elements: 0.93 eV per atom. The total moment is 0.0 μB/f.u.

=====

Record 6
HgGe2B2 | PBE | relaxed

Cell: 7.2204 7.2204 3.2864 Å, 90.00 90.00 90.00°
Atoms (fractional coordinates):
Hg1 0.0000 0.0000 0.0000
Hg2 0.5000 0.5000 0.0000
Ge1 0.1475 0.3525 0.0000
Ge2 0.3525 0.8525 0.0000
Ge3 0.6475 0.1475 0.0000
Ge4 0.8525 0.6475 0.0000
B1 0.0797 0.5797 0.5000
B2 0.4203 0.0797 0.5000
B3 0.5797 0.9203 0.5000
B4 0.9203 0.4203 0.5000

Calculated values
The density of states at the Fermi level comes out at 0.693 states/eV per atom. Its crystal system is tetragonal. Its energy above the most stable polymorph in this dataset is 59 meV per atom. As for the energy relative to the elements: 1.01 eV per atom. The total moment is 0.0 μB/f.u.

=====

Record 7
HgGe2B | PBE | relaxed

Cell: 6.6274 6.6274 6.6274 Å, 90.00 90.00 90.00°
Atoms (fractional coordinates):
Hg1 0.0000 0.0000 0.0000
Hg2 0.0000 0.5000 0.5000
Hg3 0.5000 0.0000 0.5000
Hg4 0.5000 0.5000 0.0000
Ge1 0.2500 0.2500 0.2500
Ge2 0.2500 0.2500 0.7500
Ge3 0.2500 0.7500 0.2500
Ge4 0.2500 0.7500 0.7500
Ge5 0.7500 0.2500 0.2500
Ge6 0.7500 0.2500 0.7500
Ge7 0.7500 0.7500 0.2500
Ge8 0.7500 0.7500 0.7500
B1 0.0000 0.0000 0.5000
B2 0.0000 0.5000 0.0000
B3 0.5000 0.0000 0.0000
B4 0.5000 0.5000 0.5000

Calculated values
The density of states at the Fermi level comes out at 0.525 states/eV per atom. Its crystal system is cubic. Its energy above the most stable polymorph in this dataset is 677 meV per atom. As for the energy relative to the elements: 1.09 eV per atom. The total moment is 0.0 μB/f.u.

=====

Record 8
Hg2GeB | PBE | relaxed

Cell: 6.7791 6.7791 6.7791 Å, 90.00 90.00 90.00°
Atoms (fractional coordinates):
Hg1 0.2500 0.2500 0.2500
Hg2 0.2500 0.2500 0.7500
Hg3 0.2500 0.7500 0.2500
Hg4 0.2500 0.7500 0.7500
Hg5 0.7500 0.2500 0.2500
Hg6 0.7500 0.2500 0.7500
Hg7 0.7500 0.7500 0.2500
Hg8 0.7500 0.7500 0.7500
Ge1 0.0000 0.0000 0.0000
Ge2 0.0000 0.5000 0.5000
Ge3 0.5000 0.0000 0.5000
Ge4 0.5000 0.5000 0.0000
B1 0.0000 0.0000 0.5000
B2 0.0000 0.5000 0.0000
B3 0.5000 0.0000 0.0000
B4 0.5000 0.5000 0.5000

Calculated values
The density of states at the Fermi level comes out at 0.559 states/eV per atom. Its crystal system is cubic. Its energy above the most stable polymorph in this dataset is 167 meV per atom. As for the energy relative to the elements: 1.10 eV per atom. The total moment is 0.0 μB/f.u.